#w
VASP calculation (PBE) on a relaxed Al2TePt2 crystal.

Calculated values
* density: 10232 kg/m3

a = 3.948 Å, b = 3.948 Å, c = 11.902 Å
α = 90.00°, β = 90.00°, γ = 90.00°
Space group I4/mmm (No. 139)
Unique sites:
Al1 0.000 0.500 0.250 [4 per cell]
Te1 0.000 0.000 0.000 [2 per cell]
Pt1 0.000 0.000 0.378 [4 per cell]

#x
VASP calculation (PBE) on a relaxed Al2TePt2 crystal.

Calculated values
* density: 10985 kg/m3

a = 7.675 Å, b = 7.675 Å, c = 2.934 Å
α = 90.00°, β = 90.00°, γ = 90.00°
Space group P4/mbm (No. 127)
Unique sites:
Al1 0.146 0.354 0.000 [4 per cell]
Te1 0.000 0.000 0.500 [2 per cell]
Pt1 0.144 0.644 0.500 [4 per cell]

Winner for stability: #w

#w
VASP calculation (PBE) on a relaxed Ti3AlPt crystal.

Calculated values
* density: 5558 kg/m3

a = 4.780 Å, b = 4.780 Å, c = 4.780 Å
α = 90.00°, β = 90.00°, γ = 90.00°
Space group Pm-3m (No. 221)
Unique sites:
Ti1 0.000 0.000 0.500 [3 per cell]
Al1 0.500 0.500 0.500 [1 per cell]
Pt1 0.000 0.000 0.000 [1 per cell]

#x
VASP calculation (PBE) on a relaxed Ti3AlPt crystal.

Calculated values
* density: 7373 kg/m3

a = 4.582 Å, b = 12.772 Å, c = 5.629 Å
α = 90.00°, β = 90.00°, γ = 90.00°
Space group Cmcm (No. 63)
Unique sites:
Ti1 0.000 0.101 0.250 [4 per cell]
Ti2 0.000 0.305 0.000 [8 per cell]
Al1 0.000 0.120 0.750 [4 per cell]
Pt1 0.000 0.491 0.250 [4 per cell]

#y
VASP calculation (PBE) on a relaxed Ti3AlPt crystal.

Calculated values
* density: 6277 kg/m3

a = 4.590 Å, b = 4.590 Å, c = 4.590 Å
α = 90.00°, β = 90.00°, γ = 90.00°
Space group Pm-3m (No. 221)
Unique sites:
Ti1 0.000 0.000 0.500 [3 per cell]
Al1 0.000 0.000 0.000 [1 per cell]
Pt1 0.500 0.500 0.500 [1 per cell]

Winner for stability: #x

#w
VASP calculation (PBE) on a relaxed AlTl3Pt crystal.

Calculated values
* density: 9475 kg/m3

a = 5.270 Å, b = 5.270 Å, c = 5.270 Å
α = 90.00°, β = 90.00°, γ = 90.00°
Space group Pm-3m (No. 221)
Unique sites:
Al1 0.000 0.000 0.000 [1 per cell]
Tl1 0.000 0.000 0.500 [3 per cell]
Pt1 0.500 0.500 0.500 [1 per cell]

#x
VASP calculation (PBE) on a relaxed AlTl3Pt crystal.

Calculated values
* density: 9122 kg/m3

a = 5.337 Å, b = 5.337 Å, c = 5.337 Å
α = 90.00°, β = 90.00°, γ = 90.00°
Space group Pm-3m (No. 221)
Unique sites:
Al1 0.000 0.000 0.000 [1 per cell]
Tl1 0.000 0.500 0.500 [3 per cell]
Pt1 0.500 0.500 0.500 [1 per cell]

Winner for stability: #x

#w
VASP calculation (PBE) on a relaxed Al2VPt2 crystal.

Calculated values
* density: 9685 kg/m3

a = 3.920 Å, b = 3.920 Å, c = 11.045 Å
α = 90.00°, β = 90.00°, γ = 90.00°
Space group I4/mmm (No. 139)
Unique sites:
Al1 0.000 0.000 0.113 [4 per cell]
V1 0.000 0.000 0.500 [2 per cell]
Pt1 0.000 0.500 0.250 [4 per cell]

#x
VASP calculation (PBE) on a relaxed Al2VPt2 crystal.

Calculated values
* density: 10862 kg/m3

a = 7.420 Å, b = 7.420 Å, c = 2.750 Å
α = 90.00°, β = 90.00°, γ = 90.00°
Space group P4/mbm (No. 127)
Unique sites:
Al1 0.137 0.363 0.000 [4 per cell]
V1 0.000 0.000 0.000 [2 per cell]
Pt1 0.161 0.661 0.500 [4 per cell]

Winner for stability: #x

#w
VASP calculation (PBE) on a relaxed AlPtW crystal.

Calculated values
* density: 14679 kg/m3

a = 4.3785 Å, b = 4.3785 Å, c = 2.7657 Å
α = 90.00°, β = 90.00°, γ = 120.00°
Space group P-6m2 (No. 187)
Unique sites:
Al1 0.0000 0.0000 0.0000 [1 per cell]
Pt1 0.6667 0.3333 0.0000 [1 per cell]
W1 0.3333 0.6667 0.5000 [1 per cell]

#x
VASP calculation (PBE) on a relaxed AlPtW crystal.

Calculated values
* density: 14533 kg/m3

a = 12.988 Å, b = 2.942 Å, c = 4.856 Å
α = 90.00°, β = 90.00°, γ = 90.00°
Space group Amm2 (No. 38)
Unique sites:
Al1 0.171 0.000 0.000 [4 per cell]
Pt1 0.328 0.000 0.661 [4 per cell]
W1 0.000 0.000 0.656 [2 per cell]
W2 0.500 0.000 0.000 [2 per cell]

Winner for stability: #x

#w
VASP calculation (PBE) on a relaxed AlPtW crystal.

Calculated values
* density: 14765 kg/m3

a = 2.772 Å, b = 2.772 Å, c = 11.882 Å
α = 90.00°, β = 90.00°, γ = 90.00°
Space group I4mm (No. 107)
Unique sites:
Al1 0.000 0.000 0.000 [2 per cell]
Pt1 0.000 0.000 0.341 [2 per cell]
W1 0.000 0.000 0.670 [2 per cell]

#x
VASP calculation (PBE) on a relaxed AlPtW crystal.

Calculated values
* density: 12157 kg/m3

a = 6.053 Å, b = 6.053 Å, c = 6.053 Å
α = 90.00°, β = 90.00°, γ = 90.00°
Space group F-43m (No. 216)
Unique sites:
Al1 0.000 0.000 0.000 [4 per cell]
Pt1 0.000 0.000 0.500 [4 per cell]
W1 0.250 0.250 0.250 [4 per cell]

Winner for stability: #w

#w
VASP calculation (PBE) on a relaxed AlPtW crystal.

Calculated values
* density: 12503 kg/m3

a = 5.997 Å, b = 5.997 Å, c = 5.997 Å
α = 90.00°, β = 90.00°, γ = 90.00°
Space group F-43m (No. 216)
Unique sites:
Al1 0.000 0.000 0.000 [4 per cell]
Pt1 0.250 0.250 0.750 [4 per cell]
W1 0.000 0.000 0.500 [4 per cell]

#x
VASP calculation (PBE) on a relaxed AlPtW crystal.

Calculated values
* density: 14542 kg/m3

a = 2.8361 Å, b = 2.8361 Å, c = 6.6541 Å
α = 90.00°, β = 90.00°, γ = 120.00°
Space group P3m1 (No. 156)
Unique sites:
Al1 0.0000 0.0000 0.0000 [1 per cell]
Pt1 0.6667 0.3333 0.3171 [1 per cell]
W1 0.3333 0.6667 0.6602 [1 per cell]

Winner for stability: #x

#w
VASP calculation (PBE) on a relaxed Al2PtW crystal.

Calculated values
* density: 11533 kg/m3

a = 2.830 Å, b = 4.945 Å, c = 8.909 Å
α = 90.00°, β = 90.00°, γ = 90.00°
Space group Immm (No. 71)
Unique sites:
Al1 0.000 0.000 0.239 [4 per cell]
Pt1 0.000 0.500 0.500 [2 per cell]
W1 0.000 0.500 0.000 [2 per cell]

#x
VASP calculation (PBE) on a relaxed Al2PtW crystal.

Calculated values
* density: 11865 kg/m3

a = 3.715 Å, b = 3.715 Å, c = 8.778 Å
α = 90.00°, β = 90.00°, γ = 90.00°
Space group I-4m2 (No. 119)
Unique sites:
Al1 0.000 0.000 0.000 [2 per cell]
Al2 0.000 0.500 0.250 [2 per cell]
Pt1 0.000 0.500 0.750 [2 per cell]
W1 0.000 0.000 0.500 [2 per cell]

Winner for stability: #x